<one>
VASP calculation (GGA-PBE) on LiPm3Ir2 after structural relaxation.

Density, kg/m3: 9827
Total magnetic moment, Bohr magnetons per cell: 0.00

Geometry as CIF:
```
data_LiPm3Ir2
_cell_length_a 11.6539
_cell_length_b 4.1727
_cell_length_c 11.4864
_cell_angle_alpha 90.00
_cell_angle_beta 90.00
_cell_angle_gamma 90.00
_symmetry_space_group_name_H-M 'P n m a'
_symmetry_Int_Tables_number 62
_symmetry_space_group_name_Hall '-P 2ac 2n'
loop_
_atom_site_label
_atom_site_fract_x
_atom_site_fract_y
_atom_site_fract_z
_atom_site_occupancy
Li1 0.1255 0.2500 0.1178 1
Pm1 0.0509 0.2500 0.3743 1
Pm2 0.1251 0.7500 0.9293 1
Pm3 0.2039 0.2500 0.6827 1
Ir1 0.0163 0.7500 0.1831 1
Ir2 0.1815 0.7500 0.5064 1
```

***

<two>
VASP calculation (GGA-PBE) on LiPm3Ir2 after structural relaxation.

Density, kg/m3: 9444
Total magnetic moment, Bohr magnetons per cell: 0.00

Geometry as CIF:
```
data_LiPm3Ir2
_cell_length_a 3.5775
_cell_length_b 3.5775
_cell_length_c 11.3528
_cell_angle_alpha 90.00
_cell_angle_beta 90.00
_cell_angle_gamma 90.00
_symmetry_space_group_name_H-M 'P 4/m m m'
_symmetry_Int_Tables_number 123
_symmetry_space_group_name_Hall '-P 4 2'
loop_
_atom_site_label
_atom_site_fract_x
_atom_site_fract_y
_atom_site_fract_z
_atom_site_occupancy
Li1 0.0000 0.0000 0.0000 1
Pm1 0.5000 0.5000 0.2012 1
Pm2 0.5000 0.5000 0.5000 1
Ir1 0.0000 0.0000 0.3392 1
```

***

From most stable to least stable, the computed energies give <one>, <two>.

***

<one>
VASP calculation (GGA-PBE) on LiPm3Ir after structural relaxation.

Density, kg/m3: 6074
Total magnetic moment, Bohr magnetons per cell: 0.00

Geometry as CIF:
```
data_LiPm3Ir
_cell_length_a 5.5761
_cell_length_b 5.5761
_cell_length_c 5.5761
_cell_angle_alpha 90.00
_cell_angle_beta 90.00
_cell_angle_gamma 90.00
_symmetry_space_group_name_H-M 'P m -3 m'
_symmetry_Int_Tables_number 221
_symmetry_space_group_name_Hall '-P 4 2 3'
loop_
_atom_site_label
_atom_site_fract_x
_atom_site_fract_y
_atom_site_fract_z
_atom_site_occupancy
Li1 0.0000 0.0000 0.0000 1
Pm1 0.0000 0.5000 0.5000 1
Ir1 0.5000 0.5000 0.5000 1
```

***

<two>
VASP calculation (GGA-PBE) on LiPm3Ir after structural relaxation.

Density, kg/m3: 7333
Total magnetic moment, Bohr magnetons per cell: 0.00

Geometry as CIF:
```
data_LiPm3Ir
_cell_length_a 9.1286
_cell_length_b 6.9711
_cell_length_c 10.4769
_cell_angle_alpha 90.00
_cell_angle_beta 120.50
_cell_angle_gamma 90.00
_symmetry_space_group_name_H-M 'P 1 21/c 1'
_symmetry_Int_Tables_number 14
_symmetry_space_group_name_Hall '-P 2ybc'
loop_
_atom_site_label
_atom_site_fract_x
_atom_site_fract_y
_atom_site_fract_z
_atom_site_occupancy
Li1 0.0174 0.1942 0.0094 1
Pm1 0.2005 0.0065 0.7955 1
Pm2 0.2577 0.5017 0.9408 1
Pm3 0.3985 0.5602 0.6891 1
Ir1 0.4915 0.7139 0.4695 1
```

***

From most stable to least stable, the computed energies give <two>, <one>.

***

<one>
VASP calculation (GGA-PBE) on LiPmIr2 after structural relaxation.

Density, kg/m3: 12501
Total magnetic moment, Bohr magnetons per cell: 0.00

Geometry as CIF:
```
data_LiPmIr2
_cell_length_a 6.5808
_cell_length_b 6.5808
_cell_length_c 6.5808
_cell_angle_alpha 90.00
_cell_angle_beta 90.00
_cell_angle_gamma 90.00
_symmetry_space_group_name_H-M 'F m -3 m'
_symmetry_Int_Tables_number 225
_symmetry_space_group_name_Hall '-F 4 2 3'
loop_
_atom_site_label
_atom_site_fract_x
_atom_site_fract_y
_atom_site_fract_z
_atom_site_occupancy
Li1 0.0000 0.0000 0.0000 1
Pm1 0.0000 0.0000 0.5000 1
Ir1 0.2500 0.2500 0.2500 1
```

***

<two>
VASP calculation (GGA-PBE) on LiPmIr2 after structural relaxation.

Density, kg/m3: 12765
Total magnetic moment, Bohr magnetons per cell: 0.00

Geometry as CIF:
```
data_LiPmIr2
_cell_length_a 4.0830
_cell_length_b 4.0830
_cell_length_c 4.1853
_cell_angle_alpha 90.00
_cell_angle_beta 90.00
_cell_angle_gamma 90.00
_symmetry_space_group_name_H-M 'P 4/m m m'
_symmetry_Int_Tables_number 123
_symmetry_space_group_name_Hall '-P 4 2'
loop_
_atom_site_label
_atom_site_fract_x
_atom_site_fract_y
_atom_site_fract_z
_atom_site_occupancy
Li1 0.0000 0.0000 0.0000 1
Pm1 0.5000 0.5000 0.0000 1
Ir1 0.0000 0.5000 0.5000 1
```

***

From most stable to least stable, the computed energies give <two>, <one>.

***

<one>
VASP calculation (GGA-PBE) on LiPmSiIr after structural relaxation.

Density, kg/m3: 8883
Total magnetic moment, Bohr magnetons per cell: 0.00

Geometry as CIF:
```
data_LiPmSiIr
_cell_length_a 6.5291
_cell_length_b 6.5291
_cell_length_c 6.5291
_cell_angle_alpha 90.00
_cell_angle_beta 90.00
_cell_angle_gamma 90.00
_symmetry_space_group_name_H-M 'F -4 3 m'
_symmetry_Int_Tables_number 216
_symmetry_space_group_name_Hall 'F -4 2 3'
loop_
_atom_site_label
_atom_site_fract_x
_atom_site_fract_y
_atom_site_fract_z
_atom_site_occupancy
Li1 0.0000 0.0000 0.0000 1
Pm1 0.2500 0.2500 0.7500 1
Si1 0.2500 0.2500 0.2500 1
Ir1 0.0000 0.0000 0.5000 1
```

***

<two>
VASP calculation (GGA-PBE) on LiPmSiIr after structural relaxation.

Density, kg/m3: 7268
Total magnetic moment, Bohr magnetons per cell: 0.00

Geometry as CIF:
```
data_LiPmSiIr
_cell_length_a 4.1566
_cell_length_b 4.5055
_cell_length_c 4.5412
_cell_angle_alpha 90.00
_cell_angle_beta 90.00
_cell_angle_gamma 90.00
_symmetry_space_group_name_H-M 'P m m m'
_symmetry_Int_Tables_number 47
_symmetry_space_group_name_Hall '-P 2 2'
loop_
_atom_site_label
_atom_site_fract_x
_atom_site_fract_y
_atom_site_fract_z
_atom_site_occupancy
Li1 0.0000 0.0000 0.0000 1
Pm1 0.5000 0.0000 0.5000 1
Si1 0.0000 0.5000 0.5000 1
Ir1 0.0000 0.5000 0.0000 1
```

***

From most stable to least stable, the computed energies give <one>, <two>.

***

<one>
VASP calculation (GGA-PBE) on LiPrIr after structural relaxation.

Density, kg/m3: 7817
Total magnetic moment, Bohr magnetons per cell: 0.00

Geometry as CIF:
```
data_LiPrIr
_cell_length_a 6.6111
_cell_length_b 6.6111
_cell_length_c 6.6111
_cell_angle_alpha 90.00
_cell_angle_beta 90.00
_cell_angle_gamma 90.00
_symmetry_space_group_name_H-M 'F -4 3 m'
_symmetry_Int_Tables_number 216
_symmetry_space_group_name_Hall 'F -4 2 3'
loop_
_atom_site_label
_atom_site_fract_x
_atom_site_fract_y
_atom_site_fract_z
_atom_site_occupancy
Li1 0.0000 0.0000 0.0000 1
Pr1 0.0000 0.0000 0.5000 1
Ir1 0.2500 0.2500 0.2500 1
```

***

<two>
VASP calculation (GGA-PBE) on LiPrIr after structural relaxation.

Density, kg/m3: 9171
Total magnetic moment, Bohr magnetons per cell: 0.00

Geometry as CIF:
```
data_LiPrIr
_cell_length_a 4.4024
_cell_length_b 4.4024
_cell_length_c 3.6685
_cell_angle_alpha 90.00
_cell_angle_beta 90.00
_cell_angle_gamma 120.00
_symmetry_space_group_name_H-M 'P -6 m 2'
_symmetry_Int_Tables_number 187
_symmetry_space_group_name_Hall 'P -6 2'
loop_
_atom_site_label
_atom_site_fract_x
_atom_site_fract_y
_atom_site_fract_z
_atom_site_occupancy
Li1 0.0000 0.0000 0.0000 1
Pr1 0.6667 0.3333 0.5000 1
Ir1 0.3333 0.6667 0.0000 1
```

***

<three>
VASP calculation (GGA-PBE) on LiPrIr after structural relaxation.

Density, kg/m3: 9349
Total magnetic moment, Bohr magnetons per cell: 0.00

Geometry as CIF:
```
data_LiPrIr
_cell_length_a 7.5496
_cell_length_b 8.7210
_cell_length_c 4.6427
_cell_angle_alpha 90.00
_cell_angle_beta 127.78
_cell_angle_gamma 90.00
_symmetry_space_group_name_H-M 'C 1 2/c 1'
_symmetry_Int_Tables_number 15
_symmetry_space_group_name_Hall '-C 2yc'
loop_
_atom_site_label
_atom_site_fract_x
_atom_site_fract_y
_atom_site_fract_z
_atom_site_occupancy
Li1 0.0000 0.0052 0.2500 1
Pr1 0.0000 0.3649 0.7500 1
Ir1 0.2500 0.2500 0.5000 1
```

***

From most stable to least stable, the computed energies give <three>, <two>, <one>.